[1]
{"formula": "LaSm2HgO", "functional": "GGA-PBE", "state": "optimized geometry", "vol_a3_per_atom": 24.296, "e_form_raw_ev_per_atom": -1.35, "n_ef_per_ev_cell": 2.77, "cell": [[4.921, 0.000, 0.000], [0.000, 4.921, 0.000], [0.000, 0.000, 5.017]], "species": ["La", "Sm", "Sm", "Hg", "O"], "frac_coords": [[0.000, 0.000, 0.000], [0.000, 0.500, 0.500], [0.500, 0.000, 0.500], [0.500, 0.500, 0.000], [0.000, 0.000, 0.500]]}



[2]
{"formula": "La4SnHgO", "functional": "GGA-PBE", "state": "optimized geometry", "vol_a3_per_atom": 29.598, "e_form_raw_ev_per_atom": -1.20, "n_ef_per_ev_cell": 7.11, "cell": [[3.429, -8.796, 0.000], [3.429, 8.796, 0.000], [0.000, 0.000, 6.868]], "species": ["La", "La", "La", "La", "La", "La", "La", "La", "Sn", "Sn", "Hg", "Hg", "O", "O"], "frac_coords": [[0.000, 0.500, 0.000], [0.000, 0.500, 0.500], [0.062, 0.938, 0.750], [0.422, 0.578, 0.750], [0.500, 0.000, 0.000], [0.500, 0.000, 0.500], [0.578, 0.422, 0.250], [0.938, 0.062, 0.250], [0.389, 0.611, 0.250], [0.611, 0.389, 0.750], [0.116, 0.884, 0.250], [0.884, 0.116, 0.750], [0.284, 0.716, 0.750], [0.716, 0.284, 0.250]]}



[3]
{"formula": "La2SnHgO", "functional": "GGA-PBE", "state": "optimized geometry", "vol_a3_per_atom": 31.886, "e_form_raw_ev_per_atom": -0.20, "n_ef_per_ev_cell": 7.15, "cell": [[6.144, 0.000, 0.000], [0.000, 6.144, 0.000], [0.000, 0.000, 4.224]], "species": ["La", "La", "Sn", "Hg", "O"], "frac_coords": [[0.000, 0.500, 0.000], [0.500, 0.000, 0.000], [0.000, 0.000, 0.000], [0.500, 0.500, 0.500], [0.000, 0.000, 0.500]]}



[4]
{"formula": "Sr2LaHgO", "functional": "GGA-PBE", "state": "optimized geometry", "vol_a3_per_atom": 45.228, "polymorph_energy_mev_per_atom": 692, "e_form_raw_ev_per_atom": -0.55, "n_ef_per_ev_cell": 6.57, "cell": [[7.247, 0.000, 0.000], [0.000, 7.247, 0.000], [0.000, 0.000, 4.306]], "species": ["Sr", "Sr", "La", "Hg", "O"], "frac_coords": [[0.000, 0.500, 0.000], [0.500, 0.000, 0.000], [0.000, 0.000, 0.000], [0.500, 0.500, 0.500], [0.000, 0.000, 0.500]]}



[5]
{"formula": "Sr2LaHgO", "functional": "GGA-PBE", "state": "optimized geometry", "vol_a3_per_atom": 27.482, "polymorph_energy_mev_per_atom": 0, "e_form_raw_ev_per_atom": -1.24, "n_ef_per_ev_cell": 5.87, "cell": [[5.234, 0.000, 0.000], [0.000, 5.234, 0.000], [0.000, 0.000, 5.016]], "species": ["Sr", "Sr", "La", "Hg", "O"], "frac_coords": [[0.000, 0.500, 0.000], [0.500, 0.000, 0.000], [0.000, 0.000, 0.500], [0.500, 0.500, 0.500], [0.000, 0.000, 0.000]]}



[6]
{"formula": "La2TbHgO", "functional": "GGA-PBE", "state": "optimized geometry", "vol_a3_per_atom": 24.746, "e_form_raw_ev_per_atom": -1.35, "n_ef_per_ev_cell": 3.47, "cell": [[5.079, 0.000, 0.000], [0.000, 5.079, 0.000], [0.000, 0.000, 4.797]], "species": ["La", "La", "Tb", "Hg", "O"], "frac_coords": [[0.000, 0.500, 0.000], [0.500, 0.000, 0.000], [0.000, 0.000, 0.500], [0.500, 0.500, 0.500], [0.000, 0.000, 0.000]]}



[7]
{"formula": "La6TcHg2O", "functional": "GGA-PBE", "state": "optimized geometry", "vol_a3_per_atom": 30.019, "e_form_raw_ev_per_atom": -0.61, "n_ef_per_ev_cell": 21.77, "cell": [[7.522, 0.000, 0.000], [0.000, 10.429, 0.000], [0.000, 0.000, 7.653]], "species": ["La", "La", "La", "La", "La", "La", "La", "La", "La", "La", "La", "La", "Tc", "Tc", "Hg", "Hg", "Hg", "Hg", "O", "O"], "frac_coords": [[0.002, 0.250, 0.017], [0.009, 0.250, 0.500], [0.250, 0.009, 0.221], [0.250, 0.491, 0.221], [0.491, 0.250, 0.500], [0.498, 0.250, 0.017], [0.502, 0.750, 0.983], [0.509, 0.750, 0.500], [0.750, 0.509, 0.779], [0.750, 0.991, 0.779], [0.991, 0.750, 0.500], [0.998, 0.750, 0.983], [0.250, 0.750, 0.295], [0.750, 0.250, 0.705], [0.250, 0.502, 0.764], [0.250, 0.998, 0.764], [0.750, 0.002, 0.236], [0.750, 0.498, 0.236], [0.250, 0.250, 0.278], [0.750, 0.750, 0.722]]}



[8]
{"formula": "LaHg2TeO6", "functional": "GGA-PBE", "state": "optimized geometry", "vol_a3_per_atom": 15.323, "e_form_raw_ev_per_atom": -1.30, "n_ef_per_ev_cell": 2.23, "cell": [[2.938, 1.696, 5.124], [-2.938, 1.696, 5.124], [0.000, -3.393, 5.124]], "species": ["La", "Hg", "Hg", "Te", "O", "O", "O", "O", "O", "O"], "frac_coords": [[0.000, 0.000, 0.000], [0.243, 0.243, 0.243], [0.756, 0.756, 0.756], [0.500, 0.500, 0.500], [0.168, 0.385, 0.723], [0.279, 0.833, 0.615], [0.385, 0.723, 0.168], [0.615, 0.279, 0.833], [0.723, 0.168, 0.385], [0.833, 0.615, 0.279]]}



Mass density readings, ordered: 9.0 7.1 6.4 3.9 6.4 8.8 7.5 8.3 g/cm3
Uncorrected energy readings, ordered: -26.37 -74.71 -20.13 -16.28 -19.74 -26.51 -103.24 -51.46 eV for the cell shown